Material: PuThIr2
Method: DFT, PBE
State: relaxed

a b c (Å): 4.9374 4.9374 3.5463
angles (deg): 90.00 90.00 90.00
With the nearest neighbours (Å) after each atom.
Sites, in units of the cell vectors:
Pu 0.0000 0.0000 0.0000  8 Ir 3.04
Th 0.5000 0.5000 0.0000  8 Ir 3.04
Ir 0.0000 0.5000 0.5000  4 Th 3.04, 4 Pu 3.04
Ir 0.5000 0.0000 0.5000  4 Th 3.04, 4 Pu 3.04

Output
The total energy comes out at -10.448 eV per atom. The value obtained for the density of states at the Fermi level is 2.348 states/eV per atom. As for the space-group type: P4/mmm. The value obtained for the energy of formation is -0.58 eV per atom.

Material: PuThIr4
Method: DFT, PBE
State: relaxed

a b c (Å): 5.4118 5.4118 5.4118
angles (deg): 60.00 60.00 60.00
With the nearest neighbours (Å) after each atom.
Sites, in units of the cell vectors:
Pu 0.0000 0.0000 0.0000  12 Ir 3.17, 4 Th 3.31
Th 0.7500 0.7500 0.7500  12 Ir 3.17, 4 Pu 3.31
Ir 0.3744 0.3744 0.3744  6 Ir 2.69-2.72
Ir 0.3744 0.3744 0.8768  6 Ir 2.69-2.72
Ir 0.3744 0.8768 0.3744  6 Ir 2.69-2.72
Ir 0.8768 0.3744 0.3744  6 Ir 2.69-2.72

Output
The total energy comes out at -10.234 eV per atom. The value obtained for the density of states at the Fermi level is 2.198 states/eV per atom. As for the space-group type: F-43m. The value obtained for the energy of formation is -0.70 eV per atom.

Material: PuThIr
Method: DFT, PBE
State: relaxed

a b c (Å): 4.8812 4.8812 4.8812
angles (deg): 60.00 60.00 60.00
With the nearest neighbours (Å) after each atom.
Sites, in units of the cell vectors:
Pu 0.0000 0.0000 0.0000  4 Ir 2.99
Th 0.5000 0.5000 0.5000  4 Ir 2.99
Ir 0.2500 0.2500 0.2500  4 Th 2.99, 4 Pu 2.99

Output
The total energy comes out at -10.591 eV per atom. The value obtained for the density of states at the Fermi level is 2.732 states/eV per atom. As for the space-group type: F-43m. The value obtained for the energy of formation is -0.39 eV per atom.

Material: PuTi2Ir
Method: DFT, PBE
State: relaxed

a b c (Å): 4.5751 4.5751 4.5751
angles (deg): 60.00 60.00 60.00
With the nearest neighbours (Å) after each atom.
Sites, in units of the cell vectors:
Pu 0.0000 0.0000 0.0000  8 Ti 2.80
Ti 0.2500 0.2500 0.2500  4 Ir 2.80, 4 Pu 2.80
Ti 0.7500 0.7500 0.7500  4 Ir 2.80, 4 Pu 2.80
Ir 0.5000 0.5000 0.5000  8 Ti 2.80

Output
The total energy comes out at -9.981 eV per atom. The value obtained for the density of states at the Fermi level is 3.193 states/eV per atom. As for the space-group type: Fm-3m. The value obtained for the energy of formation is -0.24 eV per atom.

Material: PuTi2Ir
Method: DFT, PBE
State: relaxed

a b c (Å): 3.0607 3.0607 7.4170
angles (deg): 90.00 90.00 90.00
With the nearest neighbours (Å) after each atom.
Sites, in units of the cell vectors:
Pu 0.0000 0.0000 0.0000  8 Ti 3.01, 4 Pu 3.06
Ti 0.5000 0.5000 0.2813  4 Ir 2.70, 4 Pu 3.01
Ti 0.5000 0.5000 0.7187  4 Ir 2.70, 4 Pu 3.01
Ir 0.0000 0.0000 0.5000  8 Ti 2.70

Output
The total energy comes out at -10.117 eV per atom. The value obtained for the density of states at the Fermi level is 1.187 states/eV per atom. As for the space-group type: P4/mmm. The value obtained for the energy of formation is -0.37 eV per atom.

Material: PuTi2Ir
Method: DFT, PBE
State: relaxed

a b c (Å): 4.7096 4.7096 3.0168
angles (deg): 90.00 90.00 90.00
With the nearest neighbours (Å) after each atom.
Sites, in units of the cell vectors:
Pu 0.0000 0.0000 0.0000  8 Ti 2.80, 2 Pu 3.02
Ti 0.0000 0.5000 0.5000  4 Pu 2.80, 4 Ir 2.80, 2 Ti 3.02
Ti 0.5000 0.0000 0.5000  4 Pu 2.80, 4 Ir 2.80, 2 Ti 3.02
Ir 0.5000 0.5000 0.0000  8 Ti 2.80, 2 Ir 3.02

Output
The total energy comes out at -10.049 eV per atom. The value obtained for the density of states at the Fermi level is 1.637 states/eV per atom. As for the space-group type: P4/mmm. The value obtained for the energy of formation is -0.30 eV per atom.

Material: PuTiIr4
Method: DFT, PBE
State: relaxed

a b c (Å): 5.2594 5.2594 5.2594
angles (deg): 60.00 60.00 60.00
With the nearest neighbours (Å) after each atom.
Sites, in units of the cell vectors:
Pu 0.0000 0.0000 0.0000  12 Ir 3.08, 4 Ti 3.22
Ti 0.7500 0.7500 0.7500  12 Ir 3.08, 4 Pu 3.22
Ir 0.3752 0.3752 0.3752  6 Ir 2.63
Ir 0.3752 0.3752 0.8744  6 Ir 2.63
Ir 0.3752 0.8744 0.3752  6 Ir 2.63
Ir 0.8744 0.3752 0.3752  6 Ir 2.63

Output
The total energy comes out at -10.065 eV per atom. The value obtained for the density of states at the Fermi level is 1.725 states/eV per atom. As for the space-group type: F-43m. The value obtained for the energy of formation is -0.45 eV per atom.

Material: PuTi2Ir3
Method: DFT, PBE
State: relaxed

a b c (Å): 3.0070 3.0070 10.9797
angles (deg): 90.00 90.00 90.00
With the nearest neighbours (Å) after each atom.
Sites, in units of the cell vectors:
Pu 0.0000 0.0000 0.0000  4 Pu 3.01, 8 Ir 3.09
Ti 0.0000 0.0000 0.3448  8 Ir 2.62-2.73
Ti 0.0000 0.0000 0.6552  8 Ir 2.62-2.73
Ir 0.5000 0.5000 0.2047  4 Ti 2.62
Ir 0.5000 0.5000 0.5000  8 Ti 2.73, 4 Ir 3.01
Ir 0.5000 0.5000 0.7953  4 Ti 2.62

Output
The total energy comes out at -10.173 eV per atom. The value obtained for the density of states at the Fermi level is 1.537 states/eV per atom. As for the space-group type: P4/mmm. The value obtained for the energy of formation is -0.72 eV per atom.

energy of formation of number 7 (PuTiIr4)?
-0.45 eV per atom

Repeat the third record exactly.
Material: PuThIr
Method: DFT, PBE
State: relaxed

a b c (Å): 4.8812 4.8812 4.8812
angles (deg): 60.00 60.00 60.00
With the nearest neighbours (Å) after each atom.
Sites, in units of the cell vectors:
Pu 0.0000 0.0000 0.0000  4 Ir 2.99
Th 0.5000 0.5000 0.5000  4 Ir 2.99
Ir 0.2500 0.2500 0.2500  4 Th 2.99, 4 Pu 2.99

Output
The total energy comes out at -10.591 eV per atom. The value obtained for the density of states at the Fermi level is 2.732 states/eV per atom. As for the space-group type: F-43m. The value obtained for the energy of formation is -0.39 eV per atom.

What is the energy of formation in the sixth record?
-0.30 eV per atom